(1)
Below is a PBEsol-optimized structure of Ca2Pr2MnNiO8, with properties calculated at the SCAN level.

Calculated values
ΔE_f (raw) = -2.94 eV/atom

a = 11.972 Å, b = 5.266 Å, c = 5.385 Å
α = 90.00°, β = 90.21°, γ = 90.00°
Space group Cm (No. 8)
Inequivalent atoms, fractional coordinates:
Ca: 0.000 0.000 0.000 [2 per cell]
Ca: 0.213 0.000 0.508 [2 per cell]
Pr: 0.218 0.500 0.032 [2 per cell]
Pr: 0.494 0.000 0.527 [2 per cell]
Mn: 0.355 0.000 0.019 [2 per cell]
Ni: 0.358 0.500 0.519 [2 per cell]
O: 0.023 0.500 0.988 [2 per cell]
O: 0.029 0.000 0.562 [2 per cell]
O: 0.184 0.500 0.481 [2 per cell]
O: 0.193 0.000 0.055 [2 per cell]
O: 0.346 0.245 0.772 [4 per cell]
O: 0.368 0.250 0.260 [4 per cell]

---

(2)
Below is a PBEsol-optimized structure of Sc4TaCl, with properties calculated at the SCAN level.

Calculated values
ΔE_f (raw) = 0.65 eV/atom

a = 8.077 Å, b = 8.077 Å, c = 8.077 Å
α = 90.00°, β = 90.00°, γ = 90.00°
Space group F-43m (No. 216)
Inequivalent atoms, fractional coordinates:
Sc: 0.122 0.122 0.122 [16 per cell]
Ta: 0.250 0.250 0.750 [4 per cell]
Cl: 0.000 0.000 0.500 [4 per cell]

---

Which size of the total moment belongs to each record? In order, 10.0, 0.0 Bohr magnetons per cell.